Record 1
The following is a DFT calculation (SCAN) of a PBEsol-optimized structure of CsCrI2.

abc: 6.2681 7.7242 7.7242
angles: 114.51 90.00 90.00
Last column: magnetic moment on the atom in μB.
Fractional coordinates of all 8 atoms:
I 0.2500 0.6587 0.8664  0.00
I 0.2500 0.1336 0.3413  0.00
I 0.7500 0.8664 0.6587  0.00
I 0.7500 0.3413 0.1336  0.00
Cs 0.7500 0.3544 0.6456  0.00
Cs 0.2500 0.6456 0.3544  0.00
Cr 0.0000 0.0000 0.0000  4.26
Cr 0.5000 0.0000 0.0000  4.26

Calculated values
Uncorrected formation energy = -0.838 eV per atom
Symmetry = Cmcm (63)
E_tot = -266.06 eV for the cell shown
DOS(E_F) = 0.42 states/eV/f.u.

Record 2
The following is a DFT calculation (SCAN) of a PBEsol-optimized structure of CsCrI3.

abc: 6.6961 7.9655 7.9655
angles: 120.00 90.00 90.00
Last column: magnetic moment on the atom in μB.
Fractional coordinates of all 10 atoms:
I 0.2500 0.6713 0.8356  -0.03
I 0.7500 0.3287 0.1644  -0.03
I 0.2500 0.1644 0.8356  -0.03
I 0.2500 0.1644 0.3287  -0.03
I 0.7500 0.8356 0.6713  -0.03
I 0.7500 0.8356 0.1644  -0.03
Cs 0.2500 0.6667 0.3333  0.00
Cs 0.7500 0.3333 0.6667  0.00
Cr 0.5000 0.0000 0.0000  3.76
Cr 0.0000 0.0000 0.0000  3.76

Calculated values
Uncorrected formation energy = -1.034 eV per atom
Symmetry = P6_3/mmc (194)
E_tot = -343.18 eV for the cell shown
DOS(E_F) = 2.17 states/eV/f.u.

Record 3
The following is a DFT calculation (SCAN) of a PBEsol-optimized structure of CsCrIn3.

abc: 6.1485 6.1485 6.1485
angles: 90.00 90.00 90.00
Last column: magnetic moment on the atom in μB.
Fractional coordinates of all 5 atoms:
Cr 0.5000 0.5000 0.5000  4.46
In 0.0000 0.5000 0.0000  -0.12
In 0.0000 0.0000 0.5000  -0.12
In 0.5000 0.0000 0.0000  -0.12
Cs 0.0000 0.0000 0.0000  -0.08

Calculated values
Energy of formation from the pure elements = 1.4771 eV/atom
Symmetry = Pm-3m (221)
E_tot = -148.97 eV for the cell shown
DOS(E_F) = 5.33 states/eV/f.u.

Record 4
The following is a DFT calculation (SCAN) of a PBEsol-optimized structure of CsCrInSb2.

abc: 5.4417 6.1453 6.1453
angles: 90.00 90.00 90.00
Last column: magnetic moment on the atom in μB.
Fractional coordinates of all 5 atoms:
Sb 0.0000 0.0000 0.5000  -0.12
Sb 0.0000 0.5000 0.0000  -0.12
Cr 0.5000 0.0000 0.0000  4.51
Cs 0.0000 0.0000 0.0000  0.07
In 0.5000 0.5000 0.5000  0.02

Calculated values
Uncorrected formation energy = 1.502 eV per atom
Symmetry = P4/mmm (123)
E_tot = -156.59 eV for the cell shown
DOS(E_F) = 3.39 states/eV/f.u.

Record 5
The following is a DFT calculation (SCAN) of a PBEsol-optimized structure of CsCrP2Ir.

abc: 5.0002 5.1674 5.1674
angles: 90.00 90.00 90.00
Last column: magnetic moment on the atom in μB.
Fractional coordinates of all 5 atoms:
Cr 0.5000 0.5000 0.5000  4.18
P 0.0000 0.5000 0.0000  -0.30
P 0.0000 0.0000 0.5000  -0.30
Cs 0.0000 0.0000 0.0000  -0.03
Ir 0.5000 0.0000 0.0000  -1.18

Calculated values
Energy of formation from the pure elements = 2.7048 eV/atom
Symmetry = P4/mmm (123)
E_tot = -134.57 eV for the cell shown
DOS(E_F) = 4.21 states/eV/f.u.

Record 6
The following is a DFT calculation (SCAN) of a PBEsol-optimized structure of Cs3KCr.

abc: 7.4223 7.4223 7.4223
angles: 90.00 90.00 90.00
Last column: magnetic moment on the atom in μB.
Fractional coordinates of all 5 atoms:
K 0.5000 0.5000 0.5000  0.00
Cs 0.5000 0.0000 0.0000  0.02
Cs 0.0000 0.0000 0.5000  0.02
Cs 0.0000 0.5000 0.0000  0.02
Cr 0.0000 0.0000 0.0000  4.39

Calculated values
Energy of formation from the pure elements = 0.4158 eV/atom
Symmetry = Pm-3m (221)
E_tot = -138.07 eV for the cell shown
DOS(E_F) = 2.96 states/eV/f.u.

Record 7
The following is a DFT calculation (SCAN) of a PBEsol-optimized structure of CsMg3Cr.

abc: 6.5667 6.5667 6.5667
angles: 90.00 90.00 90.00
Last column: magnetic moment on the atom in μB.
Fractional coordinates of all 5 atoms:
Mg 0.0000 0.5000 0.0000  0.01
Mg 0.0000 0.0000 0.5000  0.01
Mg 0.5000 0.0000 0.0000  0.01
Cs 0.0000 0.0000 0.0000  -0.01
Cr 0.5000 0.5000 0.5000  4.55

Calculated values
Energy of formation from the pure elements = 1.5546 eV/atom
Symmetry = Pm-3m (221)
E_tot = -63.34 eV for the cell shown
DOS(E_F) = 2.21 states/eV/f.u.

Record 8
The following is a DFT calculation (SCAN) of a PBEsol-optimized structure of CsMnCr2Pd.

abc: 5.1112 5.1112 4.9446
angles: 90.00 90.00 90.00
Last column: magnetic moment on the atom in μB.
Fractional coordinates of all 5 atoms:
Mn 0.0000 0.0000 0.5000  4.39
Cr 0.5000 0.0000 0.0000  4.04
Cr 0.0000 0.5000 0.0000  4.04
Pd 0.0000 0.0000 0.0000  0.22
Cs 0.5000 0.5000 0.5000  0.06

Calculated values
Energy of formation from the pure elements = 0.6830 eV/atom
Symmetry = P4/mmm (123)
E_tot = -122.19 eV for the cell shown
DOS(E_F) = 3.34 states/eV/f.u.